DFT (PBE) results for crystalline CdHg2I2 at its relaxed geometry.

Summary:
Total magnetization: 0.0 μB per cell
Crystal system: tetragonal
Raw formation energy: -158 meV/atom

Lattice parameters (Å, degrees): 7.8460 7.8460 7.4122 90.00 90.00 90.00
Closest atoms and distances in Å follow each position.
Positions (direct):
I 0.3235 0.8235 0.0000  2 Cd 2.89
I 0.8235 0.6765 0.0000  2 Cd 2.89
I 0.6765 0.1765 0.0000  2 Cd 2.89
I 0.1765 0.3235 0.0000  2 Cd 2.89
Hg 0.1534 0.6534 0.5000  1 Hg 3.40
Hg 0.6534 0.8466 0.5000  1 Hg 3.40
Hg 0.8466 0.3466 0.5000  1 Hg 3.40
Hg 0.3466 0.1534 0.5000  1 Hg 3.40
Cd 0.0000 0.0000 0.0000  4 I 2.89
Cd 0.5000 0.5000 0.0000  4 I 2.89